This record from Alexandria describes a relaxed BaNpReO6 crystal. The functional is PBE.

Cell lengths 7.7801, 7.3578, 7.5364 Å; angles 119.22, 121.08, 90.00 degrees
With the nearest neighbours (Å) after each atom.
Fractional coordinates of all 18 atoms:
O 0.5438 0.3504 0.7327  1 Re 1.98, 1 Np 2.19
O 0.8111 0.1177 0.2673  1 Re 1.98, 1 Np 2.19
O 0.5438 0.8823 0.7327  1 Re 1.98, 1 Np 2.19
O 0.1889 0.3504 0.7327  1 Re 1.98, 1 Np 2.19
O 0.5195 0.2695 0.0390  2 Re 1.85
O 0.1889 0.8823 0.7327  1 Re 1.98, 1 Np 2.19
O 0.1693 0.9193 0.3387  2 Np 2.12
O 0.4562 0.1177 0.2673  1 Re 1.98, 1 Np 2.19
O 0.4562 0.6496 0.2673  1 Re 1.98, 1 Np 2.19
O 0.8307 0.0807 0.6613  2 Np 2.12
O 0.8111 0.6496 0.2673  1 Re 1.98, 1 Np 2.19
O 0.4805 0.7305 0.9610  2 Re 1.85
Re 0.5000 0.0000 0.0000  6 O 1.85-1.98
Re 0.5000 0.5000 0.0000  6 O 1.85-1.98
Ba 0.7965 0.5465 0.5929  9 O 2.94-3.27
Ba 0.2035 0.4535 0.4071  9 O 2.94-3.27
Np 0.0000 0.0000 0.5000  6 O 2.12-2.19
Np 0.5000 0.0000 0.5000  6 O 2.12-2.19

N(E_F) ... 10.04 states/eV per cell
Total energy ... -156.36 eV/cell
V ... 16.868 Å³ per atom
Raw formation energy ... -2.347 eV/atom